[1]
An optimized crystal structure of Sm3AlPt3, computed with GGA-PBE.

Unit cell a=4.1036 b=10.7369 c=14.3741 alpha=90.00 beta=90.00 gamma=90.00
Space group Cmcm (No. 63)
One atom of each set of equivalent atoms:
Sm  0.0000  0.0132  0.2500 [4 per cell]
Sm  0.0000  0.2888  0.1065 [8 per cell]
Al  0.0000  0.0000  0.0000 [4 per cell]
Pt  0.0000  0.2628  0.7500 [4 per cell]
Pt  0.0000  0.4258  0.5888 [8 per cell]

Results
theoretical density = 11.15 Mg/m³
total moment = 0.00 μB per atom
energy of formation from the pure elements = -750 kJ/mol of formula units

---

[2]
An optimized crystal structure of SmAl2Pt3, computed with GGA-PBE.

Unit cell a=9.9918 b=8.1159 c=5.4638 alpha=90.00 beta=90.00 gamma=90.00
Space group Cmcm (No. 63)
One atom of each set of equivalent atoms:
Sm  0.0000  0.1707  0.2500 [4 per cell]
Al  0.2154  0.5000  0.0000 [8 per cell]
Pt  0.0000  0.4706  0.7500 [4 per cell]
Pt  0.1621  0.2010  0.7500 [8 per cell]

Results
theoretical density = 11.84 Mg/m³
total moment = 0.00 μB per atom
energy of formation from the pure elements = -609 kJ/mol of formula units

---

[3]
An optimized crystal structure of SmAlPt2, computed with GGA-PBE.

Unit cell a=3.1586 b=3.1586 c=7.2818 alpha=90.00 beta=90.00 gamma=90.00
Space group P4/mmm (No. 123)
One atom of each set of equivalent atoms:
Sm  0.0000  0.0000  0.0000 [1 per cell]
Al  0.0000  0.0000  0.5000 [1 per cell]
Pt  0.5000  0.5000  0.2990 [2 per cell]

Results
theoretical density = 12.97 Mg/m³
total moment = 0.00 μB per atom
energy of formation from the pure elements = -373 kJ/mol of formula units

---

[4]
An optimized crystal structure of Sm3Al7Pt4, computed with GGA-PBE.

Unit cell a=15.8804 b=4.2912 c=9.5372 alpha=90.00 beta=125.21 gamma=90.00
Space group C2/m (No. 12)
One atom of each set of equivalent atoms:
Sm  0.0000  0.0000  0.0000 [2 per cell]
Sm  0.1909  0.5000  0.6941 [4 per cell]
Al  0.0000  0.0000  0.5000 [2 per cell]
Al  0.0037  0.5000  0.2918 [4 per cell]
Al  0.1560  0.0000  0.4248 [4 per cell]
Al  0.1820  0.5000  0.0279 [4 per cell]
Pt  0.1184  0.0000  0.8436 [4 per cell]
Pt  0.1593  0.5000  0.2815 [4 per cell]

Results
theoretical density = 8.88 Mg/m³
total moment = 0.00 μB per atom
energy of formation from the pure elements = -1341 kJ/mol of formula units

---

[5]
An optimized crystal structure of SmAl2Pt4, computed with GGA-PBE.

Unit cell a=16.6263 b=4.2236 c=7.0848 alpha=90.00 beta=90.00 gamma=90.00
Space group Pnma (No. 62)
One atom of each set of equivalent atoms:
Sm  0.1466  0.2500  0.0552 [4 per cell]
Al  0.0247  0.7500  0.2521 [4 per cell]
Al  0.1947  0.2500  0.5999 [4 per cell]
Pt  0.0418  0.7500  0.8930 [4 per cell]
Pt  0.0558  0.2500  0.4486 [4 per cell]
Pt  0.1730  0.7500  0.3850 [4 per cell]
Pt  0.2123  0.7500  0.8024 [4 per cell]

Results
theoretical density = 13.15 Mg/m³
total moment = 0.00 μB per atom
energy of formation from the pure elements = -666 kJ/mol of formula units

---

[6]
An optimized crystal structure of SmAl11Pt, computed with GGA-PBE.

Unit cell a=5.2349 b=12.6402 c=7.2841 alpha=90.00 beta=109.54 gamma=90.00
Space group C2/m (No. 12)
One atom of each set of equivalent atoms:
Sm  0.0000  0.0000  0.0000 [2 per cell]
Al  0.0000  0.0000  0.5000 [2 per cell]
Al  0.1082  0.3908  0.2242 [8 per cell]
Al  0.1731  0.1764  0.3566 [8 per cell]
Al  0.2500  0.2500  0.0000 [4 per cell]
Pt  0.0000  0.5000  0.5000 [2 per cell]

Results
theoretical density = 4.70 Mg/m³
total moment = 0.00 μB per atom
energy of formation from the pure elements = -353 kJ/mol of formula units